1.
{
  "formula": "NbGaTe",
  "functional": "PBE",
  "state": "relaxed",
  "lattice_angstrom": [[14.478, 0.000, 0.000], [0.000, 3.575, 0.000], [-1.950, 0.000, 4.970]],
  "species": ["Nb", "Nb", "Nb", "Nb", "Ga", "Ga", "Ga", "Ga", "Te", "Te", "Te", "Te"],
  "fractional_positions": [[0.238, 0.000, 0.250], [0.262, 0.500, 0.750], [0.738, 0.500, 0.250], [0.762, 0.000, 0.750], [0.094, 0.000, 0.469], [0.406, 0.500, 0.531], [0.594, 0.500, 0.469], [0.906, 0.000, 0.531], [0.099, 0.500, 0.917], [0.401, 0.000, 0.083], [0.599, 0.000, 0.917], [0.901, 0.500, 0.083]],
  "formation_energy_uncorrected_ev_per_atom": -0.161
}

2.
{
  "formula": "RbMn2TlI",
  "functional": "PBE",
  "state": "relaxed",
  "lattice_angstrom": [[6.327, 0.000, 0.000], [0.000, 6.327, 0.000], [0.000, 0.000, 7.196]],
  "species": ["Rb", "Mn", "Mn", "Tl", "I"],
  "fractional_positions": [[0.000, 0.000, 0.000], [0.000, 0.500, 0.000], [0.500, 0.000, 0.000], [0.000, 0.000, 0.500], [0.500, 0.500, 0.500]],
  "formation_energy_uncorrected_ev_per_atom": 1.406
}

3.
{
  "formula": "Ac3GaNi6Ge2",
  "functional": "PBE",
  "state": "relaxed",
  "lattice_angstrom": [[6.073, 0.000, 0.000], [-3.036, 5.259, 0.000], [0.000, 0.000, 7.748]],
  "species": ["Ac", "Ac", "Ac", "Ga", "Ni", "Ni", "Ni", "Ni", "Ni", "Ni", "Ge", "Ge"],
  "fractional_positions": [[0.000, 0.000, 0.000], [0.333, 0.667, 0.711], [0.667, 0.333, 0.289], [0.000, 0.000, 0.500], [0.197, 0.394, 0.367], [0.197, 0.803, 0.367], [0.394, 0.197, 0.633], [0.606, 0.803, 0.367], [0.803, 0.197, 0.633], [0.803, 0.606, 0.633], [0.333, 0.667, 0.122], [0.667, 0.333, 0.878]],
  "formation_energy_mev_per_atom": -351
}

4.
{
  "formula": "Ce2Mg3Tl3",
  "functional": "PBE",
  "state": "relaxed",
  "lattice_angstrom": [[4.460, 2.575, 3.110], [-4.460, 2.575, 3.110], [0.000, -5.150, 3.110]],
  "species": ["Ce", "Ce", "Mg", "Mg", "Mg", "Tl", "Tl", "Tl"],
  "fractional_positions": [[0.149, 0.149, 0.149], [0.851, 0.851, 0.851], [0.289, 0.711, 0.500], [0.500, 0.289, 0.711], [0.711, 0.500, 0.289], [0.000, 0.334, 0.666], [0.334, 0.666, 0.000], [0.666, 0.000, 0.334]],
  "formation_energy_mev_per_atom": -74,
  "de_polymorph_mev_per_atom": 79
}

Energy in Ha/atom, matching the order above: -0.2048, -0.1190, -0.1944, -0.1118